[1]
Density functional theory data (PBE) for a geometry-optimized Na2InAu2 structure.

Structure (CIF):
```
data_Na2InAu2
_cell_length_a 8.567
_cell_length_b 8.567
_cell_length_c 3.088
_cell_angle_alpha 90.00
_cell_angle_beta 90.00
_cell_angle_gamma 90.00
_space_group_name_H-M_alt 'P 4/m b m'
_space_group_IT_number 127
_space_group_name_Hall '-P 4 2ab'
loop_
_atom_site_label
_atom_site_fract_x
_atom_site_fract_y
_atom_site_fract_z
Na1 0.129 0.371 0.000
In1 0.000 0.000 0.000
Au1 0.168 0.668 0.500
```

Calculated volume, Å³/f.u.: 113.30
Crystal system: tetragonal
E, eV per atom: -2.541
Formation energy from the elements, eV/atom: -0.15

***

[2]
Density functional theory data (PBE) for a geometry-optimized Pr5Er4Mg2 structure.

Structure (CIF):
```
data_Pr5Er4Mg2
_cell_length_a 9.094
_cell_length_b 21.345
_cell_length_c 3.646
_cell_angle_alpha 90.00
_cell_angle_beta 90.00
_cell_angle_gamma 90.00
_space_group_name_H-M_alt 'P b a m'
_space_group_IT_number 55
_space_group_name_Hall '-P 2 2ab'
loop_
_atom_site_label
_atom_site_fract_x
_atom_site_fract_y
_atom_site_fract_z
Pr1 0.000 0.000 0.000
Pr2 0.129 0.436 0.000
Pr3 0.246 0.217 0.000
Er1 0.071 0.851 0.500
Er2 0.218 0.577 0.500
Mg1 0.042 0.310 0.500
```

Calculated volume, Å³/f.u.: 353.90
Crystal system: orthorhombic
E, eV per atom: -4.106
Formation energy from the elements, eV/atom: 0.02

***

[3]
Density functional theory data (PBE) for a geometry-optimized LaMgTa2 structure.

Structure (CIF):
```
data_LaMgTa2
_cell_length_a 2.937
_cell_length_b 5.139
_cell_length_c 6.086
_cell_angle_alpha 90.00
_cell_angle_beta 99.82
_cell_angle_gamma 90.00
_space_group_name_H-M_alt 'P 1 2/m 1'
_space_group_IT_number 10
_space_group_name_Hall '-P 2y'
loop_
_atom_site_label
_atom_site_fract_x
_atom_site_fract_y
_atom_site_fract_z
La1 0.000 0.000 0.000
Mg1 0.500 0.000 0.500
Ta1 0.302 0.500 0.700
```

Calculated volume, Å³/f.u.: 90.49
Crystal system: monoclinic
E, eV per atom: -7.039
Formation energy from the elements, eV/atom: 0.52